Re3Pt5 | GGA-PBE | relaxed

Structure (POSCAR):
```
Re3Pt5
1.0
7.806 0.000 0.000
0.000 8.039 0.000
0.000 0.000 3.892
Re Pt
6 10
Direct
0.000 0.000 0.000
0.244 0.000 0.500
0.256 0.500 0.500
0.500 0.500 0.000
0.744 0.500 0.500
0.756 0.000 0.500
0.000 0.242 0.500
0.000 0.500 0.000
0.000 0.758 0.500
0.250 0.250 0.000
0.250 0.750 0.000
0.500 0.000 0.000
0.500 0.258 0.500
0.500 0.742 0.500
0.750 0.250 0.000
0.750 0.750 0.000
```

Calculated values
Total magnetization: 0.0 μB per formula unit
V: 15.26 A^3/atom
Polymorph energy (0 for the lowest one): 91.5 meV per atom
SG: Cmmm (65)
E_form: 0.02 eV per atom
DOS at the Fermi energy: 18.41 states/eV per cell